Record 1
Crystalline RbNd2Cr2N6 at its relaxed geometry, computed with PBE-GGA.

It has space group C2/m (No. 12), with a = 11.191 Å, b = 6.770 Å, c = 6.939 Å, α = 90.00°, β = 122.09° and γ = 90.00°. The inequivalent atoms are Rb at (0.000, 0.000, 0.000), Nd at (0.183, 0.500, 0.300), Cr at (0.117, 0.500, 0.684), N at (0.079, 0.500, 0.892) and N at (0.186, 0.297, 0.636).

The uncorrected formation energy is -0.523 eV per atom. The uncorrected energy comes out at -7.768 eV per atom.

Record 2
Crystalline SbMoSe at its relaxed geometry, computed with PBE-GGA.

It has space group F-43m (No. 216), with a = 6.515 Å, b = 6.515 Å, c = 6.515 Å, α = 90.00°, β = 90.00° and γ = 90.00°. The inequivalent atoms are Sb at (0.000, 0.000, 0.000), Mo at (0.250, 0.250, 0.750) and Se at (0.000, 0.000, 0.500).

The uncorrected formation energy is 0.253 eV per atom. The uncorrected energy comes out at -5.893 eV per atom.

Record 3
Crystalline Na3Ac2DySe6 at its relaxed geometry, computed with PBE-GGA.

It has space group C2/m (No. 12), with a = 18.977 Å, b = 4.392 Å, c = 8.676 Å, α = 90.00°, β = 101.94° and γ = 90.00°. The inequivalent atoms are Na at (0.000, 0.000, 0.000), Na at (0.163, 0.500, 0.330), Ac at (0.165, 0.500, 0.826), Dy at (0.000, 0.000, 0.500), Se at (0.001, 0.500, 0.274), Se at (0.157, 0.000, 0.573) and Se at (0.167, 0.000, 0.081).

The uncorrected formation energy is -1.706 eV per atom. The uncorrected energy comes out at -4.846 eV per atom.

Record 4
Crystalline CuTc2Os at its relaxed geometry, computed with PBE-GGA.

It has space group F-43m (No. 216), with a = 6.088 Å, b = 6.088 Å, c = 6.088 Å, α = 90.00°, β = 90.00° and γ = 90.00°. The inequivalent atoms are Cu at (0.000, 0.000, 0.000), Tc at (0.000, 0.000, 0.500), Tc at (0.250, 0.250, 0.250) and Os at (0.250, 0.250, 0.750).

As for the calculated formation energy: 0.3705 eV/atom. The uncorrected energy comes out at -8.644 eV per atom.

Record 5
Crystalline ThTi2Sn at its relaxed geometry, computed with PBE-GGA.

It has space group P4/mmm (No. 123), with a = 4.728 Å, b = 4.728 Å, c = 3.790 Å, α = 90.00°, β = 90.00° and γ = 90.00°. The inequivalent atoms are Th at (0.000, 0.000, 0.000), Ti at (0.000, 0.500, 0.500) and Sn at (0.500, 0.500, 0.000).

As for the calculated formation energy: -0.2067 eV/atom. The uncorrected energy comes out at -7.010 eV per atom.

Record 6
Crystalline TaTlHg2 at its relaxed geometry, computed with PBE-GGA.

It has space group Cmmm (No. 65), with a = 4.298 Å, b = 4.378 Å, c = 9.843 Å, α = 90.00°, β = 90.00° and γ = 90.00°. The inequivalent atoms are Ta at (0.000, 0.000, 0.000), Tl at (0.000, 0.000, 0.500) and Hg at (0.000, 0.500, 0.211).

As for the calculated formation energy: 0.3636 eV/atom. The uncorrected energy comes out at -3.342 eV per atom.

Record 7
Crystalline CePm3Tm2Te6 at its relaxed geometry, computed with PBE-GGA.

It has space group C2/m (No. 12), with a = 19.278 Å, b = 4.372 Å, c = 8.922 Å, α = 90.00°, β = 103.49° and γ = 90.00°. The inequivalent atoms are Ce at (0.000, 0.000, 0.000), Pm at (0.000, 0.000, 0.500), Pm at (0.161, 0.500, 0.833), Tm at (0.165, 0.500, 0.330), Te at (0.005, 0.500, 0.254), Te at (0.170, 0.000, 0.095) and Te at (0.171, 0.000, 0.576).

The uncorrected formation energy is -1.328 eV per atom. The uncorrected energy comes out at -5.327 eV per atom.

Record 8
Crystalline Ca3Cd at its relaxed geometry, computed with PBE-GGA.

It has space group P-6m2 (No. 187), with a = 3.9104 Å, b = 3.9104 Å, c = 11.1602 Å, α = 90.00°, β = 90.00° and γ = 120.00°. The inequivalent atoms are Ca at (0.0000, 0.0000, 0.0000), Ca at (0.3333, 0.6667, 0.2860) and Cd at (0.0000, 0.0000, 0.5000).

As for the calculated formation energy: -0.0842 eV/atom. The uncorrected energy comes out at -1.814 eV per atom.

Repeat the sixth record exactly.
Crystalline TaTlHg2 at its relaxed geometry, computed with PBE-GGA.

It has space group Cmmm (No. 65), with a = 4.298 Å, b = 4.378 Å, c = 9.843 Å, α = 90.00°, β = 90.00° and γ = 90.00°. The inequivalent atoms are Ta at (0.000, 0.000, 0.000), Tl at (0.000, 0.000, 0.500) and Hg at (0.000, 0.500, 0.211).

As for the calculated formation energy: 0.3636 eV/atom. The uncorrected energy comes out at -3.342 eV per atom.

What did the sixth record say?
Crystalline TaTlHg2 at its relaxed geometry, computed with PBE-GGA.

It has space group Cmmm (No. 65), with a = 4.298 Å, b = 4.378 Å, c = 9.843 Å, α = 90.00°, β = 90.00° and γ = 90.00°. The inequivalent atoms are Ta at (0.000, 0.000, 0.000), Tl at (0.000, 0.000, 0.500) and Hg at (0.000, 0.500, 0.211).

As for the calculated formation energy: 0.3636 eV/atom. The uncorrected energy comes out at -3.342 eV per atom.

Question: The lowest uncorrected energy belongs to which entry?
Answer: CuTc2Os